1.
VASP calculation (meta-GGA SCAN) on a crystal of SiAu2S relaxed with PBEsol.

The structure in POSCAR format:
```
SiAu2S
1.0
0.0000 3.2179 3.2179
3.2179 0.0000 3.2179
3.2179 3.2179 0.0000
Si Au S
1 2 1
Direct
0.0000 0.0000 0.0000 Si
0.2500 0.2500 0.2500 Au
0.7500 0.7500 0.7500 Au
0.5000 0.5000 0.5000 S
```

Summary:
For the total magnetization, the calculation gives 0.0 μB/f.u. As for the space group: Fm-3m (225). The uncorrected formation energy comes out at 0.53 eV per atom. As for the total DFT energy (no corrections): -38.964 eV/atom. The value obtained for the density of states at the Fermi level is 1.206 states/eV/cell.

---

2.
VASP calculation (meta-GGA SCAN) on a crystal of TaAu3S relaxed with PBEsol.

The structure in POSCAR format:
```
TaAu3S
1.0
5.0110 0.0000 0.0000
0.0000 5.0110 0.0000
0.0000 0.0000 5.0110
Ta Au S
1 3 1
Direct
0.0000 0.0000 0.0000 Ta
0.0000 0.0000 0.5000 Au
0.0000 0.5000 0.0000 Au
0.5000 0.0000 0.0000 Au
0.5000 0.5000 0.5000 S
```

Summary:
For the total magnetization, the calculation gives 0.0 μB/f.u. As for the space group: Pm-3m (221). The uncorrected formation energy comes out at 1.28 eV per atom. As for the total DFT energy (no corrections): -55.458 eV/atom. The value obtained for the density of states at the Fermi level is 4.867 states/eV/cell.

---

3.
VASP calculation (meta-GGA SCAN) on a crystal of TcAu3S relaxed with PBEsol.

The structure in POSCAR format:
```
TcAu3S
1.0
4.8702 0.0000 0.0000
0.0000 4.8702 0.0000
0.0000 0.0000 4.8702
Tc Au S
1 3 1
Direct
0.0000 0.0000 0.0000 Tc
0.0000 0.0000 0.5000 Au
0.0000 0.5000 0.0000 Au
0.5000 0.0000 0.0000 Au
0.5000 0.5000 0.5000 S
```

Summary:
For the total magnetization, the calculation gives 0.0 μB/f.u. As for the space group: Pm-3m (221). The uncorrected formation energy comes out at 1.56 eV per atom. As for the total DFT energy (no corrections): -48.875 eV/atom. The value obtained for the density of states at the Fermi level is 4.284 states/eV/cell.

---

4.
VASP calculation (meta-GGA SCAN) on a crystal of TiAuS3 relaxed with PBEsol.

The structure in POSCAR format:
```
TiAuS3
1.0
4.6175 0.0000 0.0000
0.0000 4.6175 0.0000
0.0000 0.0000 4.6175
Ti Au S
1 1 3
Direct
0.0000 0.0000 0.0000 Ti
0.5000 0.5000 0.5000 Au
0.0000 0.0000 0.5000 S
0.0000 0.5000 0.0000 S
0.5000 0.0000 0.0000 S
```

Summary:
For the total magnetization, the calculation gives 0.0 μB/f.u. As for the space group: Pm-3m (221). The uncorrected formation energy comes out at -0.12 eV per atom. As for the total DFT energy (no corrections): -22.932 eV/atom. The value obtained for the density of states at the Fermi level is 3.378 states/eV/cell.

---

5.
VASP calculation (meta-GGA SCAN) on a crystal of Ti3AuS relaxed with PBEsol.

The structure in POSCAR format:
```
Ti3AuS
1.0
4.4013 0.0000 0.0000
0.0000 4.4013 0.0000
0.0000 0.0000 4.4013
Ti Au S
3 1 1
Direct
0.0000 0.0000 0.5000 Ti
0.0000 0.5000 0.0000 Ti
0.5000 0.0000 0.0000 Ti
0.5000 0.5000 0.5000 Au
0.0000 0.0000 0.0000 S
```

Summary:
For the total magnetization, the calculation gives 0.0 μB/f.u. As for the space group: Pm-3m (221). The uncorrected formation energy comes out at -0.58 eV per atom. As for the total DFT energy (no corrections): -25.958 eV/atom. The value obtained for the density of states at the Fermi level is 5.242 states/eV/cell.

---

6.
VASP calculation (meta-GGA SCAN) on a crystal of ZrTi2AuS relaxed with PBEsol.

The structure in POSCAR format:
```
ZrTi2AuS
1.0
4.8190 0.0000 0.0000
0.0000 4.8190 0.0000
0.0000 0.0000 4.6659
Zr Ti Au S
1 2 1 1
Direct
0.0000 0.0000 0.0000 Zr
0.0000 0.5000 0.0000 Ti
0.5000 0.0000 0.0000 Ti
0.5000 0.5000 0.5000 Au
0.0000 0.0000 0.5000 S
```

Summary:
For the total magnetization, the calculation gives 0.0 μB/f.u. As for the space group: P4/mmm (123). The uncorrected formation energy comes out at 0.78 eV per atom. As for the total DFT energy (no corrections): -27.533 eV/atom. The value obtained for the density of states at the Fermi level is 3.700 states/eV/cell.

---

7.
VASP calculation (meta-GGA SCAN) on a crystal of ZrTlAu2S relaxed with PBEsol.

The structure in POSCAR format:
```
ZrTlAu2S
1.0
4.9712 0.0000 0.0000
0.0000 4.9712 0.0000
0.0000 0.0000 5.4885
Zr Tl Au S
1 1 2 1
Direct
0.0000 0.0000 0.0000 Zr
0.0000 0.0000 0.5000 Tl
0.0000 0.5000 0.5000 Au
0.5000 0.0000 0.5000 Au
0.5000 0.5000 0.0000 S
```

Summary:
For the total magnetization, the calculation gives 0.0 μB/f.u. As for the space group: P4/mmm (123). The uncorrected formation energy comes out at 0.90 eV per atom. As for the total DFT energy (no corrections): -49.300 eV/atom. The value obtained for the density of states at the Fermi level is 3.098 states/eV/cell.

---

8.
VASP calculation (meta-GGA SCAN) on a crystal of VAuS2 relaxed with PBEsol.

The structure in POSCAR format:
```
VAuS2
1.0
3.1460 0.0000 0.0000
-1.5730 2.7245 0.0000
0.0000 0.0000 15.0114
V Au S
2 2 4
Direct
0.3333 0.6667 0.2500 V
0.6667 0.3333 0.7500 V
0.0000 0.0000 0.0000 Au
0.0000 0.0000 0.5000 Au
0.0000 0.0000 0.1548 S
0.0000 0.0000 0.3452 S
0.0000 0.0000 0.6548 S
0.0000 0.0000 0.8452 S
```

Summary:
For the total magnetization, the calculation gives 0.0 μB/f.u. As for the space group: P6_3/mmc (194). The uncorrected formation energy comes out at -0.81 eV per atom. As for the total DFT energy (no corrections): -27.289 eV/atom. The value obtained for the density of states at the Fermi level is 0.763 states/eV/cell.

---

9.
VASP calculation (meta-GGA SCAN) on a crystal of YAuS2 relaxed with PBEsol.

The structure in POSCAR format:
```
YAuS2
1.0
0.0000 3.3156 3.3156
3.3156 0.0000 3.3156
3.3156 3.3156 0.0000
Y Au S
1 1 2
Direct
0.0000 0.0000 0.0000 Y
0.5000 0.5000 0.5000 Au
0.2500 0.2500 0.2500 S
0.7500 0.7500 0.7500 S
```

Summary:
For the total magnetization, the calculation gives 0.0 μB/f.u. As for the space group: Fm-3m (225). The uncorrected formation energy comes out at -1.04 eV per atom. As for the total DFT energy (no corrections): -30.104 eV/atom. The value obtained for the density of states at the Fermi level is 0.114 states/eV/cell.

---

10.
VASP calculation (meta-GGA SCAN) on a crystal of YAu3S relaxed with PBEsol.

The structure in POSCAR format:
```
YAu3S
1.0
4.7383 0.0000 0.0000
0.0000 4.7383 0.0000
0.0000 0.0000 4.7383
Y Au S
1 3 1
Direct
0.0000 0.0000 0.0000 Y
0.0000 0.5000 0.5000 Au
0.5000 0.0000 0.5000 Au
0.5000 0.5000 0.0000 Au
0.5000 0.5000 0.5000 S
```

Summary:
For the total magnetization, the calculation gives 0.0 μB/f.u. As for the space group: Pm-3m (221). The uncorrected formation energy comes out at -0.06 eV per atom. As for the total DFT energy (no corrections): -49.050 eV/atom. The value obtained for the density of states at the Fermi level is 2.215 states/eV/cell.

---

11.
VASP calculation (meta-GGA SCAN) on a crystal of YAuS2 relaxed with PBEsol.

The structure in POSCAR format:
```
YAuS2
1.0
2.0256 1.1695 7.2824
-2.0256 1.1695 7.2824
0.0000 -2.3390 7.2824
Y Au S
1 1 2
Direct
0.0000 0.0000 0.0000 Y
0.5000 0.5000 0.5000 Au
0.3964 0.3964 0.3964 S
0.6036 0.6036 0.6036 S
```

Summary:
For the total magnetization, the calculation gives 0.0 μB/f.u. As for the space group: R-3m (166). The uncorrected formation energy comes out at -1.50 eV per atom. As for the total DFT energy (no corrections): -30.566 eV/atom. The value obtained for the density of states at the Fermi level is 0.000 states/eV/cell.

---

12.
VASP calculation (meta-GGA SCAN) on a crystal of Sb2Au3 relaxed with PBEsol.

The structure in POSCAR format:
```
Sb2Au3
1.0
0.0000 6.8126 2.8077
5.5522 0.0000 2.8077
5.5522 6.8126 0.0000
Sb Au
4 6
Direct
0.2188 0.7812 0.4139 Sb
0.6639 0.8361 0.4688 Sb
0.7812 0.2188 0.5861 Sb
0.8361 0.6639 0.0312 Sb
0.1458 0.3446 0.0719 Au
0.1781 0.8123 0.1042 Au
0.3446 0.1458 0.4377 Au
0.3559 0.3559 0.6441 Au
0.6059 0.6059 0.8941 Au
0.8123 0.1781 0.9054 Au
```

Summary:
For the total magnetization, the calculation gives 0.0 μB/f.u. As for the space group: Fdd2 (43). The uncorrected formation energy comes out at 0.00 eV per atom. As for the total DFT energy (no corrections): -56.397 eV/atom. The value obtained for the density of states at the Fermi level is 3.366 states/eV/cell.

---

13.
VASP calculation (meta-GGA SCAN) on a crystal of Sb4Au5 relaxed with PBEsol.

The structure in POSCAR format:
```
Sb4Au5
1.0
-4.6553 4.6553 2.1677
4.6553 -4.6553 2.1677
4.6553 4.6553 -2.1677
Sb Au
4 5
Direct
0.0000 0.3007 0.3007 Sb
0.0000 0.6993 0.6993 Sb
0.3007 0.0000 0.3007 Sb
0.6993 0.0000 0.6993 Sb
0.0000 0.0000 0.0000 Au
0.3342 0.3342 0.6685 Au
0.3342 0.6658 0.0000 Au
0.6658 0.3342 0.0000 Au
0.6658 0.6658 0.3315 Au
```

Summary:
For the total magnetization, the calculation gives 0.0 μB/f.u. As for the space group: I4/mmm (139). The uncorrected formation energy comes out at 0.09 eV per atom. As for the total DFT energy (no corrections): -54.895 eV/atom. The value obtained for the density of states at the Fermi level is 2.599 states/eV/cell.

---

14.
VASP calculation (meta-GGA SCAN) on a crystal of Sb3Au relaxed with PBEsol.

The structure in POSCAR format:
```
Sb3Au
1.0
5.2147 0.0000 0.0000
0.0000 5.2147 0.0000
0.0000 0.0000 3.4599
Sb Au
3 1
Direct
0.0000 0.0000 0.0000 Sb
0.0000 0.5000 0.5000 Sb
0.5000 0.0000 0.5000 Sb
0.5000 0.5000 0.0000 Au
```

Summary:
For the total magnetization, the calculation gives 0.0 μB/f.u. For the excess energy over the best structure of this formula in the dataset, the calculation gives 369 meV per atom. As for the space group: P4/mmm (123). The uncorrected formation energy comes out at 0.28 eV per atom. As for the total DFT energy (no corrections): -44.953 eV/atom. The value obtained for the density of states at the Fermi level is 2.168 states/eV/cell.

---

15.
VASP calculation (meta-GGA SCAN) on a crystal of Sb3Au5 relaxed with PBEsol.

The structure in POSCAR format:
```
Sb3Au5
1.0
3.0263 0.0000 0.0000
0.0000 6.8722 0.0000
-0.0635 0.0000 7.9674
Sb Au
3 5
Direct
0.0000 0.0000 0.0000 Sb
0.0324 0.5000 0.0747 Sb
0.5228 0.0000 0.5697 Sb
0.0003 0.2968 0.7591 Au
0.0003 0.7032 0.7591 Au
0.0005 0.2136 0.3122 Au
0.0005 0.7864 0.3122 Au
0.4988 0.5000 0.5017 Au
```

Summary:
For the total magnetization, the calculation gives 0.0 μB/f.u. As for the space group: Pm (6). The uncorrected formation energy comes out at 0.03 eV per atom. As for the total DFT energy (no corrections): -57.170 eV/atom. The value obtained for the density of states at the Fermi level is 3.206 states/eV/cell.

---

16.
VASP calculation (meta-GGA SCAN) on a crystal of Sb3Au relaxed with PBEsol.

The structure in POSCAR format:
```
Sb3Au
1.0
-1.9649 2.1766 5.8191
1.9649 -2.1766 5.8191
1.9649 2.1766 -5.8191
Sb Au
3 1
Direct
0.0000 0.0000 0.0000 Sb
0.3086 0.8086 0.5000 Sb
0.6914 0.1914 0.5000 Sb
0.5000 0.5000 0.0000 Au
```

Summary:
For the total magnetization, the calculation gives 0.0 μB/f.u. For the excess energy over the best structure of this formula in the dataset, the calculation gives 187 meV per atom. As for the space group: Immm (71). The uncorrected formation energy comes out at 0.10 eV per atom. As for the total DFT energy (no corrections): -45.134 eV/atom. The value obtained for the density of states at the Fermi level is 1.918 states/eV/cell.

---

17.
VASP calculation (meta-GGA SCAN) on a crystal of Sb2Au3 relaxed with PBEsol.

The structure in POSCAR format:
```
Sb2Au3
1.0
3.8795 0.0000 0.0000
-1.9397 3.3597 0.0000
0.0000 0.0000 8.4436
Sb Au
2 3
Direct
0.3333 0.6667 0.2939 Sb
0.6667 0.3333 0.7061 Sb
0.0000 0.0000 0.5000 Au
0.3333 0.6667 0.9016 Au
0.6667 0.3333 0.0984 Au
```

Summary:
For the total magnetization, the calculation gives 0.0 μB/f.u. As for the space group: P-3m1 (164). The uncorrected formation energy comes out at -0.06 eV per atom. As for the total DFT energy (no corrections): -56.458 eV/atom. The value obtained for the density of states at the Fermi level is 2.422 states/eV/cell.

---

18.
VASP calculation (meta-GGA SCAN) on a crystal of Sb3Au relaxed with PBEsol.

The structure in POSCAR format:
```
Sb3Au
1.0
2.0877 1.2053 6.6964
-2.0877 1.2053 6.6964
0.0000 -2.4106 6.6964
Sb Au
3 1
Direct
0.0000 0.0000 0.0000 Sb
0.2396 0.2396 0.2396 Sb
0.7604 0.7604 0.7604 Sb
0.5000 0.5000 0.5000 Au
```

Summary:
For the total magnetization, the calculation gives 0.0 μB/f.u. For the excess energy over the best structure of this formula in the dataset, the calculation gives 0 meV per atom. As for the space group: R-3m (166). The uncorrected formation energy comes out at -0.09 eV per atom. As for the total DFT energy (no corrections): -45.321 eV/atom. The value obtained for the density of states at the Fermi level is 1.951 states/eV/cell.

---

19.
VASP calculation (meta-GGA SCAN) on a crystal of Sb3Au relaxed with PBEsol.

The structure in POSCAR format:
```
Sb3Au
1.0
-2.7000 2.7000 3.2677
2.7000 -2.7000 3.2677
2.7000 2.7000 -3.2677
Sb Au
3 1
Direct
0.0000 0.0000 0.0000 Sb
0.2500 0.7500 0.5000 Sb
0.7500 0.2500 0.5000 Sb
0.5000 0.5000 0.0000 Au
```

Summary:
For the total magnetization, the calculation gives 0.0 μB/f.u. For the excess energy over the best structure of this formula in the dataset, the calculation gives 365 meV per atom. As for the space group: I4/mmm (139). The uncorrected formation energy comes out at 0.28 eV per atom. As for the total DFT energy (no corrections): -44.956 eV/atom. The value obtained for the density of states at the Fermi level is 2.429 states/eV/cell.

---

20.
VASP calculation (meta-GGA SCAN) on a crystal of Sb3Au relaxed with PBEsol.

The structure in POSCAR format:
```
Sb3Au
1.0
2.9351 -4.1565 0.0000
2.9351 4.1565 0.0000
0.0000 0.0000 4.1259
Sb Au
3 1
Direct
0.0000 0.0000 0.0000 Sb
0.2752 0.7248 0.5000 Sb
0.7248 0.2752 0.5000 Sb
0.5000 0.5000 0.0000 Au
```

Summary:
For the total magnetization, the calculation gives 0.0 μB/f.u. For the excess energy over the best structure of this formula in the dataset, the calculation gives 8 meV per atom. As for the space group: Cmmm (65). The uncorrected formation energy comes out at -0.08 eV per atom. As for the total DFT energy (no corrections): -45.313 eV/atom. The value obtained for the density of states at the Fermi level is 2.293 states/eV/cell.